First-principles (PBE) data for a relaxed structure of SmGeHPt2, as listed in Alexandria via LeMat-Bulk.

abc: 5.869 5.869 7.309
angles: 90.00 90.00 140.15
Atoms (fractional coordinates):
Sm (0.053, 0.947, 0.750)
Sm (0.947, 0.053, 0.250)
Ge (0.230, 0.770, 0.250)
Ge (0.770, 0.230, 0.750)
H (0.500, 0.500, 0.000)
H (0.500, 0.500, 0.500)
Pt (0.343, 0.657, 0.553)
Pt (0.343, 0.657, 0.947)
Pt (0.657, 0.343, 0.053)
Pt (0.657, 0.343, 0.447)

Crystal system: orthorhombic
Final energy: -5.78 eV per atom